Compound: K2YRh
Source: Alexandria
Functional: PBE-GGA
Structure: relaxed

Calculated values
* magnetization: 0.00 Bohr magnetons per cell
* ΔE_f: 0.40 eV/atom

Cell: 9.0778 9.0778 9.0778 Å, 94.47 94.47 147.57°
Positions (direct):
K (0.3750, 0.2336, 0.3586)
K (0.7664, 0.1250, 0.1414)
K (0.8750, 0.0164, 0.6414)
K (0.9836, 0.6250, 0.8586)
Y (0.2500, 0.7500, 0.5000)
Y (0.5000, 0.5000, 0.0000)
Rh (0.0000, 0.0000, 0.0000)
Rh (0.7500, 0.2500, 0.5000)